# 1
Entry from Alexandria: CdBiSe2N at its PBEsol-relaxed geometry (meta-GGA SCAN).

- Magnetization: 2.1 μB/cell
- DFT total energy: -30.931 eV/atom
- Energy relative to the elements, uncorrected: 0.7578 eV per atom
- Crystal system: tetragonal

Cell and atoms, written as CIF:
```
data_CdBiSe2N
_chemical_formula_sum 'Cd1 Bi1 Se2 N1'
_cell_length_a 5.2809
_cell_length_b 5.2809
_cell_length_c 4.0759
_cell_angle_alpha 90.00
_cell_angle_beta 90.00
_cell_angle_gamma 90.00
_symmetry_space_group_name_H-M 'P 4/m m m'
_symmetry_Int_Tables_number 123
_symmetry_space_group_name_Hall '-P 4 2'
loop_
_atom_site_label
_atom_site_type_symbol
_atom_site_fract_x
_atom_site_fract_y
_atom_site_fract_z
_atom_site_occupancy
Cd1 Cd 0.0000 0.0000 0.0000 1
Bi1 Bi 0.5000 0.5000 0.5000 1
Se1 Se 0.0000 0.5000 0.0000 1
N1 N 0.0000 0.0000 0.5000 1
```

# 2
Entry from Alexandria: NaCd2Bi2 at its PBEsol-relaxed geometry (meta-GGA SCAN).

- Magnetization: 0.0 μB/cell
- DFT total energy: -44.580 eV/atom
- Crystal system: tetragonal

Cell and atoms, written as CIF:
```
data_NaCd2Bi2
_chemical_formula_sum 'Na2 Cd4 Bi4'
_cell_length_a 4.4088
_cell_length_b 4.4088
_cell_length_c 15.0118
_cell_angle_alpha 90.00
_cell_angle_beta 90.00
_cell_angle_gamma 90.00
_symmetry_space_group_name_H-M 'I 4/m m m'
_symmetry_Int_Tables_number 139
_symmetry_space_group_name_Hall '-I 4 2'
loop_
_atom_site_label
_atom_site_type_symbol
_atom_site_fract_x
_atom_site_fract_y
_atom_site_fract_z
_atom_site_occupancy
Na1 Na 0.0000 0.0000 0.0000 1
Cd1 Cd 0.0000 0.5000 0.2500 1
Bi1 Bi 0.0000 0.0000 0.3860 1
```

# 3
Entry from Alexandria: NaCdBiPd2 at its PBEsol-relaxed geometry (meta-GGA SCAN).

- Magnetization: 0.0 μB/cell
- DFT total energy: -35.111 eV/atom
- Crystal system: tetragonal

Cell and atoms, written as CIF:
```
data_NaCdBiPd2
_chemical_formula_sum 'Na1 Cd1 Bi1 Pd2'
_cell_length_a 4.7259
_cell_length_b 4.7259
_cell_length_c 4.7860
_cell_angle_alpha 90.00
_cell_angle_beta 90.00
_cell_angle_gamma 90.00
_symmetry_space_group_name_H-M 'P 4/m m m'
_symmetry_Int_Tables_number 123
_symmetry_space_group_name_Hall '-P 4 2'
loop_
_atom_site_label
_atom_site_type_symbol
_atom_site_fract_x
_atom_site_fract_y
_atom_site_fract_z
_atom_site_occupancy
Na1 Na 0.0000 0.0000 0.0000 1
Cd1 Cd 0.0000 0.0000 0.5000 1
Bi1 Bi 0.5000 0.5000 0.5000 1
Pd1 Pd 0.0000 0.5000 0.0000 1
```

# 4
Entry from Alexandria: NbTlCdBi2 at its PBEsol-relaxed geometry (meta-GGA SCAN).

- Magnetization: 0.0 μB/cell
- DFT total energy: -58.279 eV/atom
- Crystal system: tetragonal

Cell and atoms, written as CIF:
```
data_NbTlCdBi2
_chemical_formula_sum 'Nb1 Tl1 Cd1 Bi2'
_cell_length_a 5.4191
_cell_length_b 5.4191
_cell_length_c 5.4628
_cell_angle_alpha 90.00
_cell_angle_beta 90.00
_cell_angle_gamma 90.00
_symmetry_space_group_name_H-M 'P 4/m m m'
_symmetry_Int_Tables_number 123
_symmetry_space_group_name_Hall '-P 4 2'
loop_
_atom_site_label
_atom_site_type_symbol
_atom_site_fract_x
_atom_site_fract_y
_atom_site_fract_z
_atom_site_occupancy
Nb1 Nb 0.0000 0.0000 0.0000 1
Tl1 Tl 0.5000 0.5000 0.5000 1
Cd1 Cd 0.0000 0.0000 0.5000 1
Bi1 Bi 0.0000 0.5000 0.0000 1
```